No. 1
Computed, not measured: a geometry-optimized La8TlGa3I4 structure at the PBE level of DFT.

Cell lengths 9.219, 9.219, 9.219 Å; angles 59.44, 59.44, 59.44 degrees
Atoms (fractional coordinates):
1 La 0.231 0.745 0.745
2 La 0.237 0.237 0.237
3 La 0.255 0.255 0.769
4 La 0.255 0.769 0.255
5 La 0.745 0.231 0.745
6 La 0.745 0.745 0.231
7 La 0.763 0.763 0.763
8 La 0.769 0.255 0.255
9 Tl 0.500 0.500 0.500
10 Ga 0.000 0.000 0.500
11 Ga 0.000 0.500 0.000
12 Ga 0.500 0.000 0.000
13 I 0.000 0.000 0.000
14 I 0.000 0.500 0.500
15 I 0.500 0.000 0.500
16 I 0.500 0.500 0.000

Summary:
ΔE_f (raw): -0.786 eV per atom
density of states at the Fermi level: 13.5 states/eV per cell
SG: R-3m
total moment: 0.0 μB per cell
mass density: 6.170 g/cm3



No. 2
Computed, not measured: a geometry-optimized DyCdCl6 structure at the PBE level of DFT.

Cell lengths 6.578, 6.580, 7.065 Å; angles 62.43, 62.52, 60.02 degrees
Atoms (fractional coordinates):
1 Dy 0.000 0.000 0.000
2 Cd 0.500 0.500 0.500
3 Cl 0.082 0.753 0.748
4 Cl 0.250 0.582 0.249
5 Cl 0.416 0.082 0.750
6 Cl 0.584 0.918 0.250
7 Cl 0.750 0.418 0.751
8 Cl 0.918 0.247 0.252

Summary:
ΔE_f (raw): -1.374 eV per atom
density of states at the Fermi level: 13.6 states/eV per cell
SG: P-1
total moment: 1.1 μB per cell
mass density: 3.615 g/cm3



No. 3
Computed, not measured: a geometry-optimized KMg2AgCl6 structure at the PBE level of DFT.

Cell lengths 9.525, 9.525, 7.466 Å; angles 104.18, 104.18, 88.94 degrees
Atoms (fractional coordinates):
1 K 0.109 0.891 0.750
2 K 0.891 0.109 0.250
3 Mg 0.234 0.389 0.799
4 Mg 0.389 0.234 0.299
5 Mg 0.611 0.766 0.701
6 Mg 0.766 0.611 0.201
7 Ag 0.234 0.766 0.250
8 Ag 0.766 0.234 0.750
9 Cl 0.048 0.207 0.681
10 Cl 0.143 0.615 0.917
11 Cl 0.207 0.048 0.181
12 Cl 0.320 0.420 0.534
13 Cl 0.385 0.857 0.583
14 Cl 0.420 0.320 0.034
15 Cl 0.580 0.680 0.966
16 Cl 0.615 0.143 0.417
17 Cl 0.680 0.580 0.466
18 Cl 0.793 0.952 0.819
19 Cl 0.857 0.385 0.083
20 Cl 0.952 0.793 0.319

Summary:
ΔE_f (raw): -1.563 eV per atom
density of states at the Fermi level: 0.0 states/eV per cell
SG: C2/c
total moment: 0.0 μB per cell
mass density: 2.132 g/cm3



No. 4
Computed, not measured: a geometry-optimized Mg4Ag3Rh2 structure at the PBE level of DFT.

Cell lengths 4.514, 4.514, 8.540 Å; angles 90.00, 90.00, 120.00 degrees
Atoms (fractional coordinates):
1 Mg 0.000 0.000 0.179
2 Mg 0.000 0.000 0.821
3 Mg 0.333 0.667 0.612
4 Mg 0.667 0.333 0.388
5 Ag 0.000 0.000 0.500
6 Ag 0.333 0.667 0.939
7 Ag 0.667 0.333 0.061
8 Rh 0.333 0.667 0.287
9 Rh 0.667 0.333 0.713

Summary:
density of states at the Fermi level: 2.6 states/eV per cell
SG: P-3m1
total moment: 0.0 μB per cell
electronic total energy: -32.40 eV per cell
mass density: 6.902 g/cm3



No. 5
Computed, not measured: a geometry-optimized Ce5Np3Se8 structure at the PBE level of DFT.

Cell lengths 8.302, 8.302, 8.302 Å; angles 60.26, 60.26, 60.26 degrees
Atoms (fractional coordinates):
1 Ce 0.000 0.000 0.000
2 Ce 0.000 0.500 0.500
3 Ce 0.500 0.000 0.500
4 Ce 0.500 0.500 0.000
5 Ce 0.500 0.500 0.500
6 Np 0.000 0.000 0.500
7 Np 0.000 0.500 0.000
8 Np 0.500 0.000 0.000
9 Se 0.244 0.750 0.750
10 Se 0.247 0.247 0.247
11 Se 0.250 0.250 0.756
12 Se 0.250 0.756 0.250
13 Se 0.750 0.244 0.750
14 Se 0.750 0.750 0.244
15 Se 0.753 0.753 0.753
16 Se 0.756 0.250 0.250

Summary:
ΔE_f (raw): -1.541 eV per atom
density of states at the Fermi level: 41.3 states/eV per cell
SG: R-3m
total moment: 17.1 μB per cell
mass density: 8.337 g/cm3



No. 6
Computed, not measured: a geometry-optimized LiZnPW2 structure at the PBE level of DFT.

Cell lengths 4.478, 4.478, 4.555 Å; angles 90.00, 90.00, 90.00 degrees
Atoms (fractional coordinates):
1 Li 0.000 0.000 0.000
2 Zn 0.500 0.500 0.000
3 P 0.500 0.500 0.500
4 W 0.000 0.500 0.500
5 W 0.500 0.000 0.500

Summary:
density of states at the Fermi level: 2.4 states/eV per cell
SG: P4/mmm
total moment: 0.0 μB per cell
electronic total energy: -30.10 eV per cell
mass density: 8.562 g/cm3



No. 7
Computed, not measured: a geometry-optimized Sr4Cd3In structure at the PBE level of DFT.

Cell lengths 4.359, 5.129, 12.735 Å; angles 90.00, 90.00, 90.00 degrees
Atoms (fractional coordinates):
1 Sr 0.000 0.000 0.000
2 Sr 0.000 0.500 0.292
3 Sr 0.500 0.000 0.498
4 Sr 0.500 0.500 0.794
5 Cd 0.000 0.000 0.715
6 Cd 0.000 0.500 0.577
7 Cd 0.500 0.500 0.077
8 In 0.500 0.000 0.217

Summary:
density of states at the Fermi level: 9.0 states/eV per cell
SG: Pmm2
total moment: 0.0 μB per cell
electronic total energy: -14.85 eV per cell
mass density: 4.680 g/cm3



No. 8
Computed, not measured: a geometry-optimized LaPu2Ni9 structure at the PBE level of DFT.

Cell lengths 8.653, 8.653, 8.653 Å; angles 33.52, 33.52, 33.52 degrees
Atoms (fractional coordinates):
1 La 0.000 0.000 0.000
2 Pu 0.143 0.143 0.143
3 Pu 0.857 0.857 0.857
4 Ni 0.083 0.583 0.583
5 Ni 0.333 0.333 0.333
6 Ni 0.417 0.417 0.917
7 Ni 0.417 0.917 0.417
8 Ni 0.500 0.500 0.500
9 Ni 0.583 0.083 0.583
10 Ni 0.583 0.583 0.083
11 Ni 0.667 0.667 0.667
12 Ni 0.917 0.417 0.417

Summary:
density of states at the Fermi level: 27.2 states/eV per cell
SG: R-3m
total moment: 9.2 μB per cell
electronic total energy: -88.97 eV per cell
mass density: 10.904 g/cm3



No. 9
Computed, not measured: a geometry-optimized LaPm8Si6 structure at the PBE level of DFT.

Cell lengths 8.018, 8.018, 8.018 Å; angles 66.79, 66.79, 66.79 degrees
Atoms (fractional coordinates):
1 La 0.000 0.000 0.000
2 Pm 0.105 0.773 0.433
3 Pm 0.227 0.567 0.895
4 Pm 0.332 0.332 0.332
5 Pm 0.433 0.105 0.773
6 Pm 0.567 0.895 0.227
7 Pm 0.668 0.668 0.668
8 Pm 0.773 0.433 0.105
9 Pm 0.895 0.227 0.567
10 Si 0.068 0.407 0.730
11 Si 0.270 0.932 0.593
12 Si 0.407 0.730 0.068
13 Si 0.593 0.270 0.932
14 Si 0.730 0.068 0.407
15 Si 0.932 0.593 0.270

Summary:
ΔE_f (raw): -0.520 eV per atom
density of states at the Fermi level: 7.2 states/eV per cell
SG: R-3
total moment: 0.0 μB per cell
mass density: 5.834 g/cm3



No. 10
Computed, not measured: a geometry-optimized BaMnRe2 structure at the PBE level of DFT.

Cell lengths 3.159, 3.159, 7.941 Å; angles 90.00, 90.00, 90.00 degrees
Atoms (fractional coordinates):
1 Ba 0.000 0.000 0.000
2 Mn 0.000 0.000 0.500
3 Re 0.500 0.500 0.345
4 Re 0.500 0.500 0.655

Summary:
density of states at the Fermi level: 3.0 states/eV per cell
SG: P4/mmm
total moment: 1.0 μB per cell
electronic total energy: -32.80 eV per cell
mass density: 11.835 g/cm3



No. 11
Computed, not measured: a geometry-optimized Zr3Ta structure at the PBE level of DFT.

Cell lengths 4.952, 4.952, 4.952 Å; angles 60.00, 60.00, 60.00 degrees
Atoms (fractional coordinates):
1 Zr 0.000 0.000 0.000
2 Zr 0.250 0.250 0.250
3 Zr 0.750 0.750 0.750
4 Ta 0.500 0.500 0.500

Summary:
density of states at the Fermi level: 6.8 states/eV per cell
SG: Fm-3m
total moment: 0.0 μB per cell
electronic total energy: -36.92 eV per cell
mass density: 8.792 g/cm3



No. 12
Computed, not measured: a geometry-optimized Ac2TlIrO5 structure at the PBE level of DFT.

Cell lengths 7.321, 7.321, 5.915 Å; angles 90.00, 90.00, 90.00 degrees
Atoms (fractional coordinates):
1 Ac 0.182 0.318 0.000
2 Ac 0.318 0.818 0.000
3 Ac 0.682 0.182 0.000
4 Ac 0.818 0.682 0.000
5 Tl 0.000 0.000 0.500
6 Tl 0.500 0.500 0.500
7 Ir 0.000 0.500 0.500
8 Ir 0.500 0.000 0.500
9 O 0.000 0.000 0.000
10 O 0.127 0.627 0.252
11 O 0.127 0.627 0.748
12 O 0.373 0.127 0.252
13 O 0.373 0.127 0.748
14 O 0.500 0.500 0.000
15 O 0.627 0.873 0.252
16 O 0.627 0.873 0.748
17 O 0.873 0.373 0.252
18 O 0.873 0.373 0.748

Summary:
ΔE_f (raw): -2.059 eV per atom
density of states at the Fermi level: 10.5 states/eV per cell
SG: P4/mbm
total moment: 4.0 μB per cell
mass density: 9.750 g/cm3



No. 13
Computed, not measured: a geometry-optimized MgTiSb3 structure at the PBE level of DFT.

Cell lengths 5.272, 5.272, 5.272 Å; angles 90.00, 90.00, 90.00 degrees
Atoms (fractional coordinates):
1 Mg 0.000 0.000 0.000
2 Ti 0.500 0.500 0.500
3 Sb 0.000 0.500 0.500
4 Sb 0.500 0.000 0.500
5 Sb 0.500 0.500 0.000

Summary:
ΔE_f (raw): 0.128 eV per atom
density of states at the Fermi level: 2.8 states/eV per cell
SG: Pm-3m
total moment: 0.0 μB per cell
mass density: 4.957 g/cm3



No. 14
Computed, not measured: a geometry-optimized CaErCl5 structure at the PBE level of DFT.

Cell lengths 7.132, 7.132, 10.776 Å; angles 111.90, 111.90, 81.87 degrees
Atoms (fractional coordinates):
1 Ca 0.160 0.840 0.750
2 Ca 0.840 0.160 0.250
3 Er 0.500 0.500 0.000
4 Er 0.500 0.500 0.500
5 Cl 0.207 0.240 0.862
6 Cl 0.209 0.763 0.499
7 Cl 0.237 0.791 0.001
8 Cl 0.240 0.207 0.362
9 Cl 0.471 0.529 0.750
10 Cl 0.529 0.471 0.250
11 Cl 0.760 0.793 0.638
12 Cl 0.763 0.209 0.999
13 Cl 0.791 0.237 0.501
14 Cl 0.793 0.760 0.138

Summary:
ΔE_f (raw): -2.261 eV per atom
density of states at the Fermi level: 0.0 states/eV per cell
SG: C2/c
total moment: 0.0 μB per cell
mass density: 2.707 g/cm3



No. 15
Computed, not measured: a geometry-optimized SrLa3 structure at the PBE level of DFT.

Cell lengths 5.418, 5.418, 5.418 Å; angles 90.00, 90.00, 90.00 degrees
Atoms (fractional coordinates):
1 Sr 0.000 0.000 0.000
2 La 0.000 0.500 0.500
3 La 0.500 0.000 0.500
4 La 0.500 0.500 0.000

Summary:
density of states at the Fermi level: 7.2 states/eV per cell
SG: Pm-3m
total moment: 0.0 μB per cell
electronic total energy: -15.94 eV per cell
mass density: 5.266 g/cm3



No. 16
Computed, not measured: a geometry-optimized BeCdW2 structure at the PBE level of DFT.

Cell lengths 9.245, 9.245, 9.245 Å; angles 17.52, 17.52, 17.52 degrees
Atoms (fractional coordinates):
1 Be 0.000 0.000 0.000
2 Cd 0.500 0.500 0.500
3 W 0.259 0.259 0.259
4 W 0.741 0.741 0.741

Summary:
density of states at the Fermi level: 2.6 states/eV per cell
SG: R-3m
total moment: 0.0 μB per cell
electronic total energy: -28.11 eV per cell
mass density: 12.990 g/cm3



No. 17
Computed, not measured: a geometry-optimized ZrAlP2S structure at the PBE level of DFT.

Cell lengths 5.071, 5.071, 4.930 Å; angles 90.00, 90.00, 90.00 degrees
Atoms (fractional coordinates):
1 Zr 0.000 0.000 0.000
2 Al 0.500 0.500 0.500
3 P 0.000 0.500 0.000
4 P 0.500 0.000 0.000
5 S 0.000 0.000 0.500

Summary:
ΔE_f (raw): 0.187 eV per atom
density of states at the Fermi level: 4.3 states/eV per cell
SG: P4/mmm
total moment: 0.0 μB per cell
mass density: 2.780 g/cm3



No. 18
Computed, not measured: a geometry-optimized TbNd2Gd structure at the PBE level of DFT.

Cell lengths 5.138, 5.138, 5.106 Å; angles 90.00, 90.00, 90.00 degrees
Atoms (fractional coordinates):
1 Tb 0.000 0.000 0.000
2 Nd 0.000 0.500 0.500
3 Nd 0.500 0.000 0.500
4 Gd 0.500 0.500 0.000

Summary:
density of states at the Fermi level: 6.3 states/eV per cell
SG: P4/mmm
total moment: 7.3 μB per cell
electronic total energy: -28.20 eV per cell
mass density: 7.450 g/cm3



No. 19
Computed, not measured: a geometry-optimized CaZnCl structure at the PBE level of DFT.

Cell lengths 14.960, 3.910, 3.910 Å; angles 60.01, 90.00, 90.00 degrees
Atoms (fractional coordinates):
1 Ca 0.154 0.000 0.000
2 Ca 0.846 0.000 0.000
3 Zn 0.000 0.665 0.665
4 Zn 0.500 0.986 0.986
5 Cl 0.258 0.667 0.667
6 Cl 0.742 0.667 0.667

Summary:
ΔE_f (raw): -0.915 eV per atom
density of states at the Fermi level: 2.0 states/eV per cell
SG: Amm2
total moment: 0.0 μB per cell
mass density: 2.363 g/cm3